#w
The following is a PBE calculation of an optimized crystal structure of PaSnAs, from Alexandria.

Lattice parameters (Å, degrees): 4.1349 4.1349 8.9719 103.32 103.32 90.00
Positions (direct):
Pa 0.3480 0.3480 0.6961
Pa 0.6520 0.6520 0.3039
Sn 0.5000 0.0000 0.0000
Sn 0.0000 0.5000 0.0000
As 0.8217 0.8217 0.6433
As 0.1783 0.1783 0.3567

Output
Volume, Å³/atom: 24.17
Magnetization, μB/atom: 0.00
Space group: No. 139

=====

#x
The following is a PBE calculation of an optimized crystal structure of PaSnAs, from Alexandria.

Lattice parameters (Å, degrees): 3.6248 3.6248 6.1461 107.15 107.15 90.00
Positions (direct):
Sn 0.9918 0.9918 0.9836
Pa 0.6951 0.6951 0.3902
As 0.3131 0.3131 0.6261

Output
Volume, Å³/atom: 24.47
Magnetization, μB/atom: 0.00
Space group: No. 107

=====

Quick one: most stable of them? #w

=====

#w
The following is a PBE calculation of an optimized crystal structure of PaSnAs, from Alexandria.

Lattice parameters (Å, degrees): 3.8703 4.7989 4.7989 120.00 90.00 90.00
Positions (direct):
As 0.1667 0.0000 0.0000
Sn 0.6668 0.6667 0.3333
Pa 0.1665 0.3333 0.6667

Output
Volume, Å³/atom: 25.73
Magnetization, μB/atom: 0.00
Space group: No. 187

=====

#x
The following is a PBE calculation of an optimized crystal structure of PaSnAs, from Alexandria.

Lattice parameters (Å, degrees): 4.7863 4.7863 9.0793 74.72 74.72 60.00
Last column: magnetic moment on the atom in μB.
Positions (direct):
Sn 0.1413 0.1413 0.5760  0.03
As 0.3792 0.3792 0.8623  -0.02
Pa 0.7314 0.7314 0.8057  0.75
Sn 0.8587 0.8587 0.4240  0.03
Pa 0.2686 0.2686 0.1943  0.75
As 0.6208 0.6208 0.1377  -0.02

Output
Volume, Å³/atom: 28.60
Magnetization, μB/atom: 0.31
Space group: No. 166

=====

Quick one: most stable of them? #x

=====

#w
The following is a PBE calculation of an optimized crystal structure of Pa2SnAs, from Alexandria.

Lattice parameters (Å, degrees): 3.4625 3.4625 7.9456 90.00 90.00 90.00
Last column: magnetic moment on the atom in μB.
Positions (direct):
Sn 0.5000 0.5000 0.5000  -0.01
Pa 0.0000 0.0000 0.2204  0.56
Pa 0.0000 0.0000 0.7796  0.56
As 0.5000 0.5000 0.0000  -0.02

Output
Volume, Å³/atom: 23.81
Magnetization, μB/atom: 0.33
Space group: No. 123

=====

#x
The following is a PBE calculation of an optimized crystal structure of Pa2SnAs, from Alexandria.

Lattice parameters (Å, degrees): 4.2038 4.2038 7.4420 73.59 73.59 60.00
Positions (direct):
Sn 0.0000 0.0000 0.0000
As 0.5000 0.5000 0.5000
Pa 0.7580 0.7580 0.7259
Pa 0.2420 0.2420 0.2741

Output
Volume, Å³/atom: 26.92
Magnetization, μB/atom: 0.00
Space group: No. 166

=====

Quick one: most stable of them? #x

=====

#w
The following is a PBE calculation of an optimized crystal structure of TbPaAs2, from Alexandria.

Lattice parameters (Å, degrees): 4.0558 4.0558 7.4101 74.12 74.12 60.00
Positions (direct):
As 0.0816 0.0816 0.7553
Pa 0.6709 0.6709 0.9872
As 0.2530 0.2530 0.2410
Tb 0.4945 0.4945 0.5165

Output
Volume, Å³/atom: 25.04
Magnetization, μB/atom: 0.00
Space group: No. 160

=====

#x
The following is a PBE calculation of an optimized crystal structure of TbPaAs2, from Alexandria.

Lattice parameters (Å, degrees): 4.0739 7.1038 7.0577 90.00 90.00 90.00
Last column: magnetic moment on the atom in μB.
Positions (direct):
As 0.5000 0.2490 0.8328  -0.02
Tb 0.5000 0.0000 0.5000  0.05
Pa 0.5000 0.5000 0.5000  0.65
Tb 0.0000 0.5000 0.0000  0.05
As 0.0000 0.2510 0.3328  -0.02
As 0.0000 0.7490 0.6672  -0.02
As 0.5000 0.7510 0.1672  -0.02
Pa 0.0000 0.0000 0.0000  0.65

Output
Volume, Å³/atom: 25.53
Magnetization, μB/atom: 0.20
Space group: No. 58

=====

Quick one: most stable of them? #w

=====

#w
The following is a PBE calculation of an optimized crystal structure of TbPaAs, from Alexandria.

Lattice parameters (Å, degrees): 3.6105 3.6105 6.3618 106.48 106.48 90.00
Positions (direct):
Tb 0.2588 0.2588 0.5176
As 0.6125 0.6125 0.2250
Pa 0.9787 0.9787 0.9574

Output
Volume, Å³/atom: 25.32
Magnetization, μB/atom: 0.00
Space group: No. 107

=====

#x
The following is a PBE calculation of an optimized crystal structure of TbPaAs, from Alexandria.

Lattice parameters (Å, degrees): 3.5673 3.4692 12.1067 81.76 90.00 90.00
Last column: magnetic moment on the atom in μB.
Positions (direct):
Pa 0.2500 0.4527 0.0945  0.12
As 0.7500 0.8818 0.2364  0.00
Pa 0.7500 0.5473 0.9055  0.12
Tb 0.2500 0.3081 0.3839  0.01
Tb 0.7500 0.6919 0.6161  0.01
As 0.2500 0.1182 0.7636  0.00

Output
Volume, Å³/atom: 24.71
Magnetization, μB/atom: 0.04
Space group: No. 63

=====

Quick one: most stable of them? #w

=====

#w
The following is a PBE calculation of an optimized crystal structure of PaTc2As2, from Alexandria.

Lattice parameters (Å, degrees): 4.4630 4.3532 9.2995 90.50 90.00 90.00
Positions (direct):
Pa 0.7500 0.2383 0.7286
Pa 0.2500 0.7617 0.2714
As 0.7500 0.2460 0.3592
As 0.7500 0.6667 0.9719
Tc 0.7500 0.7477 0.5015
Tc 0.2500 0.2523 0.4985
As 0.2500 0.3333 0.0281
As 0.2500 0.7540 0.6408
Tc 0.2500 0.8519 0.9042
Tc 0.7500 0.1481 0.0958

Output
Volume, Å³/atom: 18.07
Magnetization, μB/atom: 0.00
Space group: No. 11

=====

#x
The following is a PBE calculation of an optimized crystal structure of PaTc2As2, from Alexandria.

Lattice parameters (Å, degrees): 4.0324 4.0786 11.3066 90.00 100.27 90.00
Positions (direct):
As 0.1116 0.2500 0.2232
Tc 0.4630 0.7500 0.9261
Pa 0.3512 0.2500 0.7024
Pa 0.6488 0.7500 0.2976
Tc 0.0400 0.7500 0.0800
Tc 0.5370 0.2500 0.0739
As 0.2501 0.7500 0.5002
As 0.7499 0.2500 0.4998
As 0.8884 0.7500 0.7768
Tc 0.9600 0.2500 0.9200

Output
Volume, Å³/atom: 18.30
Magnetization, μB/atom: 0.00
Space group: No. 63

=====

Quick one: most stable of them? #x

=====

#w
The following is a PBE calculation of an optimized crystal structure of Pa2TcAs, from Alexandria.

Lattice parameters (Å, degrees): 3.3780 3.3780 7.3249 90.00 90.00 90.00
Positions (direct):
As 0.5000 0.5000 0.5000
Tc 0.5000 0.5000 0.0000
Pa 0.0000 0.0000 0.7562
Pa 0.0000 0.0000 0.2438

Output
Volume, Å³/atom: 20.90
Magnetization, μB/atom: 0.00
Space group: No. 123

=====

#x
The following is a PBE calculation of an optimized crystal structure of Pa2TcAs, from Alexandria.

Lattice parameters (Å, degrees): 5.7491 5.7486 11.2482 90.00 90.00 90.00
Positions (direct):
Tc 0.7502 0.0001 0.1250
Pa 0.7500 0.5000 0.6110
As 0.2501 0.0000 0.3750
As 0.7499 0.5000 0.8750
Tc 0.2498 0.9999 0.8750
Pa 0.2499 0.0001 0.6390
Pa 0.2499 0.4999 0.8610
Pa 0.7501 0.5001 0.1390
Pa 0.7501 0.9999 0.3610
Pa 0.2500 0.5000 0.3890
Pa 0.7500 0.0000 0.8890
Tc 0.2498 0.5001 0.6250
Pa 0.2500 0.0000 0.1110
As 0.2501 0.5000 0.1250
As 0.7499 0.0000 0.6250
Tc 0.7502 0.4999 0.3750

Output
Volume, Å³/atom: 23.23
Magnetization, μB/atom: 0.00
Space group: No. 141

=====

Quick one: most stable of them? #x

=====

#w
The following is a PBE calculation of an optimized crystal structure of Pa2TcAs, from Alexandria.

Lattice parameters (Å, degrees): 4.1887 4.3650 4.3650 90.00 90.00 90.00
Positions (direct):
Pa 0.0000 0.5000 0.0000
Tc 0.5000 0.5000 0.5000
Pa 0.0000 0.0000 0.5000
As 0.5000 0.0000 0.0000

Output
Volume, Å³/atom: 19.95
Magnetization, μB/atom: 0.00
Space group: No. 123

=====

#x
The following is a PBE calculation of an optimized crystal structure of Pa2TcAs, from Alexandria.

Lattice parameters (Å, degrees): 3.9566 3.9566 7.3173 74.31 74.31 60.00
Positions (direct):
Tc 0.5000 0.5000 0.5000
Pa 0.2420 0.2420 0.2740
As 0.0000 0.0000 0.0000
Pa 0.7580 0.7580 0.7260

Output
Volume, Å³/atom: 23.56
Magnetization, μB/atom: 0.00
Space group: No. 166

=====

Quick one: most stable of them? #x

=====

#w
The following is a PBE calculation of an optimized crystal structure of PaTcAs2, from Alexandria.

Lattice parameters (Å, degrees): 3.5002 4.5909 4.5909 90.00 90.00 90.00
Positions (direct):
Pa 0.5000 0.0000 0.0000
As 0.0000 0.0000 0.5000
As 0.0000 0.5000 0.0000
Tc 0.5000 0.5000 0.5000

Output
Volume, Å³/atom: 18.44
Magnetization, μB/atom: 0.00
Space group: No. 123

=====

#x
The following is a PBE calculation of an optimized crystal structure of PaTcAs2, from Alexandria.

Lattice parameters (Å, degrees): 3.5089 4.3804 5.9925 111.36 106.01 90.02
Positions (direct):
As 0.8618 0.4889 0.4453
Tc 0.5219 0.6561 0.7766
As 0.5009 0.2405 0.9460
Pa 0.2506 0.8891 0.2448

Output
Volume, Å³/atom: 20.48
Magnetization, μB/atom: 0.00
Space group: No. 1

=====

Quick one: most stable of them? #w

=====

#w
The following is a PBE calculation of an optimized crystal structure of PaTcAs2, from Alexandria.

Lattice parameters (Å, degrees): 3.1866 3.1866 7.0861 90.00 90.00 90.00
Last column: magnetic moment on the atom in μB.
Positions (direct):
Pa 0.5000 0.5000 0.0000  0.51
As 0.0000 0.0000 0.2914  -0.01
Tc 0.5000 0.5000 0.5000  0.04
As 0.0000 0.0000 0.7086  -0.01

Output
Volume, Å³/atom: 17.99
Magnetization, μB/atom: 0.16
Space group: No. 123

=====

#x
The following is a PBE calculation of an optimized crystal structure of PaTcAs2, from Alexandria.

Lattice parameters (Å, degrees): 4.7154 4.7154 4.7154 60.00 60.00 60.00
Last column: magnetic moment on the atom in μB.
Positions (direct):
As 0.7500 0.7500 0.7500  -0.02
Pa 0.5000 0.5000 0.5000  -0.09
Tc 0.0000 0.0000 0.0000  -0.78
As 0.2500 0.2500 0.2500  -0.02

Output
Volume, Å³/atom: 18.53
Magnetization, μB/atom: 0.26
Space group: No. 225

=====

Quick one: most stable of them? #x

=====

#w
The following is a PBE calculation of an optimized crystal structure of Pa2Te3As, from Alexandria.

Lattice parameters (Å, degrees): 4.0317 8.4943 10.9407 111.65 100.62 90.00
Last column: magnetic moment on the atom in μB.
Positions (direct):
As 0.8064 0.6897 0.6128  -0.01
Te 0.9759 0.1647 0.9518  -0.02
Pa 0.5902 0.1483 0.1803  0.30
Te 0.4075 0.4886 0.8149  -0.01
Te 0.5925 0.5114 0.1851  -0.01
As 0.1936 0.3103 0.3872  -0.01
Pa 0.4098 0.8517 0.8197  0.30
Pa 0.7926 0.3233 0.5852  0.17
Te 0.6809 0.9364 0.3617  -0.01
Te 0.3191 0.0636 0.6383  -0.01
Te 0.0241 0.8353 0.0482  -0.02
Pa 0.2074 0.6767 0.4148  0.17

Output
Volume, Å³/atom: 28.45
Magnetization, μB/atom: 0.08
Space group: No. 12

=====

#x
The following is a PBE calculation of an optimized crystal structure of Pa2Te3As, from Alexandria.

Lattice parameters (Å, degrees): 4.4295 11.3109 11.8136 137.08 90.00 101.29
Positions (direct):
Te 0.3631 0.7262 0.7934
Pa 0.2446 0.4893 0.8503
As 0.1371 0.2741 0.9916
As 0.8629 0.7259 0.0084
Te 0.6111 0.2221 0.7324
Te 0.3889 0.7779 0.2676
Pa 0.4923 0.9847 0.1799
Te 0.8962 0.7923 0.5487
Te 0.1038 0.2077 0.4513
Pa 0.7554 0.5107 0.1497
Pa 0.5077 0.0153 0.8201
Te 0.6369 0.2738 0.2066

Output
Volume, Å³/atom: 32.17
Magnetization, μB/atom: 0.01
Space group: No. 12

=====

Quick one: most stable of them? #w

=====

#w
The following is a PBE calculation of an optimized crystal structure of ThPaAs, from Alexandria.

Lattice parameters (Å, degrees): 3.5766 3.6024 12.4060 81.65 90.00 90.00
Positions (direct):
Th 0.7500 0.6925 0.6150
Th 0.2500 0.3075 0.3850
As 0.2500 0.1177 0.7645
Pa 0.7500 0.5549 0.8903
As 0.7500 0.8823 0.2355
Pa 0.2500 0.4451 0.1097

Output
Volume, Å³/atom: 26.36
Magnetization, μB/atom: 0.00
Space group: No. 63

=====

#x
The following is a PBE calculation of an optimized crystal structure of ThPaAs, from Alexandria.

Lattice parameters (Å, degrees): 3.6692 3.6692 6.3936 106.67 106.67 90.00
Positions (direct):
As 0.6079 0.6079 0.2159
Th 0.2617 0.2617 0.5234
Pa 0.9804 0.9804 0.9608

Output
Volume, Å³/atom: 26.22
Magnetization, μB/atom: 0.00
Space group: No. 107

=====

Quick one: most stable of them? #x